Entry 1:
The following is a PBE calculation of an optimized crystal structure of LiSnH, from Alexandria.

It has space group P-1 (No. 2), with a = 3.424 Å, b = 4.813 Å, c = 6.542 Å, α = 105.50°, β = 104.17° and γ = 90.48°. Symmetry generates all atoms from Li at (0.164, 0.288, 0.316), Sn at (0.407, 0.229, 0.825) and H at (0.309, 0.461, 0.630).

The offset from the most stable computed form comes out at 0.00 eV per formula unit. For the total energy, the calculation gives -19.29 eV per cell. The calculation puts the density of states at the Fermi level at 0.4 states/eV/cell.

Entry 2:
The following is a PBE calculation of an optimized crystal structure of LiSnH, from Alexandria.

It has space group P4mm (No. 99), with a = 3.033 Å, b = 3.033 Å, c = 5.056 Å, α = 90.00°, β = 90.00° and γ = 90.00°. Symmetry generates all atoms from Li at (0.000, 0.000, 0.000), Sn at (0.500, 0.500, 0.502) and H at (0.500, 0.500, 0.995).

The offset from the most stable computed form comes out at 0.19 eV per formula unit. For the total energy, the calculation gives -9.46 eV per cell. The calculation puts the density of states at the Fermi level at 1.1 states/eV/cell.